No. 1
This record from the Alexandria database describes an optimized crystal structure of DyEr2TmSe6. The functional is PBE.

Formation energy without anion corrections (kJ/mol of atoms): -178.0
DOS at the Fermi energy (states/eV/f.u.): 0.0
SG: No. 146

POSCAR file:
```
DyEr2TmSe6
1.0
7.144 0.000 0.000
3.572 6.187 0.000
3.572 2.063 6.446
Tm Dy Se Er
1 1 6 2
Direct
0.319 0.319 0.042 Tm
0.818 0.818 0.546 Dy
0.113 0.413 0.752 Se
0.413 0.722 0.752 Se
0.223 0.918 0.251 Se
0.918 0.608 0.251 Se
0.722 0.113 0.752 Se
0.608 0.223 0.251 Se
0.514 0.514 0.458 Er
0.013 0.013 0.961 Er
```

***

No. 2
This record from the Alexandria database describes an optimized crystal structure of Cs2HgTe. The functional is PBE.

Formation energy without anion corrections (kJ/mol of atoms): -69.1
SG: No. 160

POSCAR file:
```
Cs2HgTe
1.0
-4.342 2.212 -3.467
-4.467 -3.536 -1.820
-7.263 1.573 4.942
Cs Hg Te
2 1 1
Direct
0.264 0.264 0.209 Cs
0.059 0.059 0.824 Cs
0.523 0.523 0.432 Hg
0.655 0.655 0.035 Te
```

***

No. 3
This record from the Alexandria database describes an optimized crystal structure of NaCoRu. The functional is PBE.

Energy of formation (eV/atom): 0.56
DOS at the Fermi energy (states/eV/f.u.): 3.4
SG: No. 8

POSCAR file:
```
NaCoRu
1.0
-6.016 -3.251 2.398
-2.721 -2.368 -4.560
1.712 -2.709 -4.852
Co Ru Na
2 2 2
Direct
0.046 0.485 0.946 Co
0.046 0.054 0.515 Co
0.547 0.066 0.529 Ru
0.547 0.471 0.934 Ru
0.044 0.779 0.221 Na
0.539 0.779 0.221 Na
```

***

No. 4
This record from the Alexandria database describes an optimized crystal structure of RbCd5Au3. The functional is PBE.

Energy of formation (eV/atom): -0.19
DOS at the Fermi energy (states/eV/f.u.): 3.1
SG: No. 63

POSCAR file:
```
RbCd5Au3
1.0
-2.491 -3.611 0.980
5.522 -2.378 -5.033
8.468 -2.943 10.682
Au Cd Rb
6 10 2
Direct
0.382 0.765 0.545 Au
0.122 0.244 0.750 Au
0.878 0.756 0.250 Au
0.618 0.235 0.455 Au
0.382 0.765 0.955 Au
0.618 0.235 0.045 Au
0.452 0.904 0.353 Cd
0.802 0.605 0.059 Cd
0.548 0.096 0.647 Cd
0.548 0.096 0.853 Cd
0.000 0.000 0.000 Cd
0.198 0.395 0.559 Cd
0.452 0.904 0.147 Cd
0.198 0.395 0.941 Cd
0.000 0.000 0.500 Cd
0.802 0.605 0.441 Cd
0.830 0.660 0.750 Rb
0.170 0.340 0.250 Rb
```

***

No. 5
This record from the Alexandria database describes an optimized crystal structure of HoSc3C. The functional is PBE.

Energy of formation (eV/atom): -0.09
DOS at the Fermi energy (states/eV/f.u.): 6.2
SG: No. 221

POSCAR file:
```
HoSc3C
1.0
-3.261 3.338 0.603
-1.870 -2.467 3.544
2.830 2.216 3.037
Sc Ho C
3 1 1
Direct
0.000 0.000 0.500 Sc
0.000 0.500 0.000 Sc
0.500 0.000 0.000 Sc
0.500 0.500 0.500 Ho
0.000 0.000 0.000 C
```

***

No. 6
This record from the Alexandria database describes an optimized crystal structure of SnOs. The functional is PBE.

Energy of formation (eV/atom): 1.54
DOS at the Fermi energy (states/eV/f.u.): 3.0
SG: No. 223

POSCAR file:
```
SnOs
1.0
7.344 0.000 0.000
0.000 7.344 0.000
0.000 0.000 7.344
Os Sn
6 6
Direct
0.500 0.000 0.750 Os
0.750 0.500 0.000 Os
0.000 0.250 0.500 Os
0.500 0.000 0.250 Os
0.000 0.750 0.500 Os
0.250 0.500 0.000 Os
0.500 0.750 0.000 Sn
0.000 0.500 0.750 Sn
0.000 0.500 0.250 Sn
0.500 0.250 0.000 Sn
0.250 0.000 0.500 Sn
0.750 0.000 0.500 Sn
```

***

No. 7
This record from the Alexandria database describes an optimized crystal structure of YCr2Ir. The functional is PBE.

Energy of formation (eV/atom): 0.44
DOS at the Fermi energy (states/eV/f.u.): 5.1
SG: No. 12

POSCAR file:
```
YCr2Ir
1.0
-3.750 -3.206 -1.490
3.518 1.247 -3.580
1.399 -2.438 -0.186
Cr Y Ir
2 1 1
Direct
0.000 0.000 0.000 Cr
0.500 0.000 0.500 Cr
0.500 0.500 0.000 Y
0.000 0.500 0.500 Ir
```

***

No. 8
This record from the Alexandria database describes an optimized crystal structure of LiNpOsRu. The functional is PBE.

Energy of formation (eV/atom): 0.10
DOS at the Fermi energy (states/eV/f.u.): 6.5
SG: No. 216

POSCAR file:
```
LiNpOsRu
1.0
-4.335 0.971 -0.565
-2.480 -2.402 -2.853
-3.141 -2.786 1.560
Li Ru Np Os
1 1 1 1
Direct
0.250 0.250 0.250 Li
0.000 0.000 0.000 Ru
0.750 0.750 0.750 Np
0.500 0.500 0.500 Os
```

***

No. 9
This record from the Alexandria database describes an optimized crystal structure of Nb2PdS4. The functional is PBE.

Formation energy without anion corrections (kJ/mol of atoms): 5.4
DOS at the Fermi energy (states/eV/f.u.): 5.5
SG: No. 139

POSCAR file:
```
Nb2PdS4
1.0
4.764 0.000 0.000
0.000 4.764 0.000
2.382 2.382 6.281
S Pd Nb
4 1 2
Direct
0.000 0.500 0.000 S
0.210 0.210 0.579 S
0.790 0.790 0.421 S
0.500 0.000 0.000 S
0.000 0.000 0.000 Pd
0.388 0.388 0.223 Nb
0.612 0.612 0.777 Nb
```

***

No. 10
This record from the Alexandria database describes an optimized crystal structure of TbCuGe2Ir. The functional is PBE.

Energy of formation (eV/atom): -0.57
DOS at the Fermi energy (states/eV/f.u.): 2.9
SG: No. 119

POSCAR file:
```
TbCuGe2Ir
1.0
4.141 0.000 0.000
0.000 4.141 0.000
-2.071 -2.071 5.165
Ge Cu Tb Ir
2 1 1 1
Direct
0.620 0.620 0.241 Ge
0.380 0.380 0.759 Ge
0.250 0.750 0.500 Cu
0.000 0.000 0.000 Tb
0.750 0.250 0.500 Ir
```

***

no.,total magnetization (μB/cell)
1,0.000
2,0.000
3,0.000
4,0.000
5,0.001
6,1.412
7,0.332
8,2.198
9,2.478
10,0.000